Entry 1:
# PBE K3Rb2Zn2Au4, optimized geometry
data_K3Rb2Zn2Au4
_chemical_formula_sum 'K6 Rb4 Zn4 Au8'
_space_group_name_H-M_alt 'I 4/m m m'
_space_group_IT_number 139
_space_group_name_Hall '-I 4 2'
_cell_length_a 5.2804
_cell_length_b 5.2804
_cell_length_c 26.9115
_cell_angle_alpha 90.00
_cell_angle_beta 90.00
_cell_angle_gamma 90.00
loop_
_atom_site_label
_atom_site_fract_x
_atom_site_fract_y
_atom_site_fract_z
K1 0.0000 0.0000 0.0000
K2 0.0000 0.0000 0.1454
Rb1 0.0000 0.0000 0.3209
Zn1 0.0000 0.0000 0.4482
Au1 0.0000 0.5000 0.0762
# - Formation enthalpy at 0 K: -1.5 eV/f.u.


Entry 2:
# PBE HWN2, optimized geometry
data_HWN2
_chemical_formula_sum 'H4 W4 N8'
_space_group_name_H-M_alt 'I -4 2 d'
_space_group_IT_number 122
_space_group_name_Hall 'I -4 2bw'
_cell_length_a 4.3439
_cell_length_b 4.3439
_cell_length_c 8.7591
_cell_angle_alpha 90.00
_cell_angle_beta 90.00
_cell_angle_gamma 90.00
loop_
_atom_site_label
_atom_site_fract_x
_atom_site_fract_y
_atom_site_fract_z
H1 0.0000 0.0000 0.0000
W1 0.0000 0.0000 0.5000
N1 0.2360 0.2500 0.1250
# - Polymorph energy (0 for the lowest one): 643 meV per atom


Entry 3:
# PBE MgCuTc2, optimized geometry
data_MgCuTc2
_chemical_formula_sum 'Mg2 Cu2 Tc4'
_space_group_name_H-M_alt 'C m m m'
_space_group_IT_number 65
_space_group_name_Hall '-C 2 2'
_cell_length_a 3.3632
_cell_length_b 3.9913
_cell_length_c 8.7116
_cell_angle_alpha 90.00
_cell_angle_beta 90.00
_cell_angle_gamma 90.00
loop_
_atom_site_label
_atom_site_fract_x
_atom_site_fract_y
_atom_site_fract_z
Mg1 0.0000 0.0000 0.0000
Cu1 0.0000 0.0000 0.5000
Tc1 0.0000 0.5000 0.2632
# - Formation enthalpy at 0 K: 1.1 eV/f.u.


Entry 4:
# PBE Zn2SnP, optimized geometry
data_Zn2SnP
_chemical_formula_sum 'Zn8 Sn4 P4'
_space_group_name_H-M_alt 'I -4 2 d'
_space_group_IT_number 122
_space_group_name_Hall 'I -4 2bw'
_cell_length_a 6.3129
_cell_length_b 6.3129
_cell_length_c 9.5853
_cell_angle_alpha 90.00
_cell_angle_beta 90.00
_cell_angle_gamma 90.00
loop_
_atom_site_label
_atom_site_fract_x
_atom_site_fract_y
_atom_site_fract_z
Zn1 0.1882 0.2500 0.1250
Sn1 0.0000 0.0000 0.5000
P1 0.0000 0.0000 0.0000
# - Formation enthalpy at 0 K: 0.5 eV/f.u.


Number 1: VASP energy -44.86 eV per cell. Number 2: VASP energy -123.62 eV per cell. Number 3: VASP energy -50.66 eV per cell. Number 4: VASP energy -45.91 eV per cell.